! LiAl4 | Alexandria | PBE-GGA | optimized geometry; values from VASP
&SYSTEM
  ibrav = 0, nat = 5, ntyp = 2
/
ATOMIC_SPECIES
Al 26.98 Al.upf
Li 6.94 Li.upf
ATOMIC_POSITIONS angstrom
Al 2.446 1.095 0.916
Al 0.840 -0.367 2.752
Al -1.654 0.722 3.640
Al -0.047 2.183 1.804
Li 0.000 0.000 0.000
CELL_PARAMETERS angstrom
4.969 -0.006 0.000
-3.383 3.639 0.000
-0.793 -1.816 4.556
! Total moment ... 0.00 μB/cell
! DFT formation energy ... -53.1 meV/atom
! Total energy ... -3.43 eV/atom
! Calculated density ... 2.318 g/cm3
! Calculated volume ... 82.3 Å³ per cell
! Distance to the lowest polymorph of the same formula ... 0.002 kcal/mol of atoms
! Space group ... I4/m, No. 87